The following is a PBE calculation of a geometry-optimized Pr3Bi2S structure, from OQMD via LeMat-Bulk. Values from VASP.

Calculated values
Total magnetic moment   0.00 μB/f.u.
Raw total energy   -34.2 eV per cell
Theoretical density   7.688 Mg/m³

```
&SYSTEM
  ibrav = 0, nat = 6, ntyp = 3
/
ATOMIC_SPECIES
Pr 140.91 Pr.upf
Bi 208.98 Bi.upf
S 32.06 S.upf
ATOMIC_POSITIONS angstrom
Pr 0.000 0.000 0.000
Pr 0.000 2.569 3.949
Pr 2.225 1.284 7.046
Bi 0.000 2.569 9.024
Bi 2.225 1.284 1.971
S 0.000 0.000 5.498
CELL_PARAMETERS angstrom
4.449 0.000 0.000
-2.225 3.853 0.000
0.000 0.000 10.995
```